Entry 1:
PBE Pa3CdBi6, relaxed; magnetization = 2.293 μB per formula unit; formation energy from the elements = 0.03 eV per atom
1.0
-7.913 3.516 -0.365
-4.121 -6.819 3.410
0.014 2.978 8.139
Pa Cd Bi
6 2 12
Cartesian
-7.025 -2.604 9.895
-10.955 -1.182 5.713
-3.797 -3.402 2.412
-8.224 3.076 8.773
-1.065 0.857 5.471
-4.995 2.278 1.289
0.000 0.000 0.000
-6.010 -0.163 5.592
-5.913 -4.490 4.613
-4.109 -2.909 8.514
-8.045 -2.170 6.747
-9.247 -1.783 3.024
-6.371 0.304 8.618
-3.321 -1.566 5.041
-8.700 1.240 6.143
-5.649 -0.630 2.566
-2.774 1.457 8.160
-3.975 1.845 4.437
-7.912 2.583 2.670
-6.108 4.165 6.571



Entry 2:
PBE PaCdBi4, relaxed; magnetization = 0.003 μB per formula unit; formation energy from the elements = 0.08 eV per atom
1.0
6.783 0.422 0.000
-0.808 8.778 0.000
-2.987 -4.600 6.856
Pa Cd Bi
2 2 8
Cartesian
-2.100 4.283 5.201
5.087 0.317 1.656
1.291 4.494 1.789
1.696 0.106 5.067
-0.012 2.226 0.102
2.595 6.763 0.102
-0.251 2.129 3.542
3.238 2.471 3.314
-0.655 6.518 3.314
0.392 -2.163 6.755
3.642 -1.918 3.542
3.000 2.374 6.755



Entry 3:
PBE PaCdBi2, relaxed; magnetization = 0.305 μB per formula unit; formation energy from the elements = -0.08 eV per atom; offset from the most stable computed form = 83 meV/atom
1.0
-0.774 -0.355 4.006
2.879 -2.897 0.299
4.661 4.769 1.323
Pa Bi Cd
1 2 1
Cartesian
3.383 0.758 2.814
3.435 3.515 0.975
1.226 1.254 0.348
1.053 -1.626 2.153



Entry 4:
PBE PaCdBi2, relaxed; magnetization = 0.000 μB per formula unit; formation energy from the elements = -0.16 eV per atom; offset from the most stable computed form = 0 meV/atom
1.0
4.204 0.000 0.000
0.000 5.069 0.000
0.000 0.000 5.069
Pa Bi Cd
1 2 1
Cartesian
2.102 2.535 2.535
0.000 0.000 2.535
0.000 2.535 0.000
2.102 0.000 0.000



Entry 5:
PBE Pa2CdBi5, relaxed; magnetization = 0.580 μB per formula unit; formation energy from the elements = -0.11 eV per atom
1.0
4.572 0.000 0.000
0.000 7.914 0.000
0.000 0.000 12.991
Pa Cd Bi
4 2 10
Cartesian
2.286 5.085 2.016
2.286 2.829 10.975
2.286 6.786 8.511
2.286 1.128 4.480
0.000 3.957 6.495
0.000 0.000 0.000
0.000 0.000 6.495
0.000 3.957 0.000
0.000 7.222 2.942
0.000 0.692 10.049
0.000 4.649 9.437
0.000 3.265 3.554
2.286 5.689 5.321
2.286 2.225 7.670
2.286 6.181 11.816
2.286 1.732 1.174



Entry 6:
PBE Pa2CdBi4, relaxed; magnetization = 0.155 μB per formula unit; formation energy from the elements = -0.13 eV per atom; offset from the most stable computed form = 0 meV/atom
1.0
-3.624 -2.318 2.565
4.319 -4.470 2.062
0.363 4.588 4.658
Pa Bi Cd
2 4 1
Cartesian
3.249 -2.020 2.764
1.433 2.139 3.956
3.628 0.092 5.208
1.053 0.027 1.512
-1.631 1.135 3.612
0.347 -3.394 2.314
0.529 -1.100 4.643



Entry 7:
PBE PaCdBi2, relaxed; magnetization = 0.000 μB per formula unit; formation energy from the elements = 0.00 eV per atom; offset from the most stable computed form = 160 meV/atom
1.0
-3.183 0.006 0.993
-0.740 -0.389 3.228
-0.789 12.124 3.001
Pa Bi Cd
1 2 1
Cartesian
-2.356 5.870 3.611
-0.930 8.792 2.568
-3.783 2.948 4.654
0.000 0.000 0.000



Entry 8:
PBE PaCd2Bi2, relaxed; magnetization = 0.000 μB per formula unit; formation energy from the elements = 0.06 eV per atom
1.0
5.319 0.000 0.000
-2.659 4.606 0.000
0.000 0.000 12.528
Pa Cd Bi
2 4 4
Cartesian
0.000 0.000 3.132
0.000 0.000 9.396
0.000 3.071 7.681
2.659 1.535 1.417
2.659 1.535 4.846
0.000 3.071 11.110
2.659 1.535 9.396
0.000 0.000 0.000
0.000 0.000 6.264
0.000 3.071 3.132



Entry 9:
PBE PaCdBi2, relaxed; magnetization = 0.527 μB per formula unit; formation energy from the elements = 0.09 eV per atom; offset from the most stable computed form = 252 meV/atom
1.0
-1.042 0.096 -4.506
-1.021 -3.927 -2.222
-7.489 -0.409 -0.652
Pa Cd Bi
1 1 2
Cartesian
-1.414 -2.549 -4.477
-4.778 -2.119 -3.690
-5.855 -0.617 -1.034
-2.280 -1.074 -1.871



Entry 10:
PBE PaCdBi3, relaxed; magnetization = 1.067 μB per formula unit; formation energy from the elements = 0.00 eV per atom; offset from the most stable computed form = 0 meV/atom
1.0
4.106 -1.098 -1.004
-0.618 6.039 0.381
-0.790 0.028 6.219
Pa Cd Bi
1 1 3
Cartesian
1.772 0.243 1.125
0.018 3.201 0.232
0.542 1.836 3.857
1.661 5.183 4.798
2.732 3.356 1.654



Entry 11:
PBE Pa2Cd3Bi3, relaxed; magnetization = 0.011 μB per formula unit; formation energy from the elements = -0.09 eV per atom
1.0
5.053 0.000 0.000
0.000 4.806 0.000
0.000 0.000 8.708
Pa Cd Bi
2 3 3
Cartesian
0.000 0.000 6.465
0.000 0.000 2.243
2.526 2.403 6.633
2.526 2.403 2.075
2.526 0.000 0.000
2.526 0.000 4.354
0.000 2.403 0.000
0.000 2.403 4.354



Entry 12:
PBE PaCdBi2, relaxed; magnetization = 0.459 μB per formula unit; formation energy from the elements = 0.12 eV per atom; offset from the most stable computed form = 281 meV/atom
1.0
-2.104 0.402 -5.003
-3.285 -3.905 -1.893
-5.313 0.989 -0.646
Pa Bi Cd
1 2 1
Cartesian
0.000 0.000 0.000
-2.675 -0.628 -1.885
-8.026 -1.885 -5.656
-5.351 -1.257 -3.771



| no. | final energy (eV/cell) |
| --- | --- |
| 1 | -104.75 |
| 2 | -50.86 |
| 3 | -18.49 |
| 4 | -18.82 |
| 5 | -80.41 |
| 6 | -36.31 |
| 7 | -18.18 |
| 8 | -37.58 |
| 9 | -17.82 |
| 10 | -22.04 |
| 11 | -34.08 |
| 12 | -17.70 |